Below is crystalline Al2InRe at its relaxed geometry, with properties calculated at the PBE level.

V: 66.0 Å³/f.u.
total DFT energy (no corrections): -5.492 eV per atom
formation enthalpy at 0 K: 0.176 eV/atom

Cell and atoms, written as CIF:
```
data_Al2InRe
_cell_length_a 3.984
_cell_length_b 3.984
_cell_length_c 8.319
_cell_angle_alpha 90.00
_cell_angle_beta 90.00
_cell_angle_gamma 90.00
_space_group_name_H-M_alt 'I -4 m 2'
_space_group_IT_number 119
_space_group_name_Hall 'I -4 -2'
loop_
_atom_site_label
_atom_site_type_symbol
_atom_site_fract_x
_atom_site_fract_y
_atom_site_fract_z
Al1 Al 0.000 0.000 0.000
Al2 Al 0.000 0.500 0.250
In1 In 0.000 0.500 0.750
Re1 Re 0.000 0.000 0.500
```

---

Below is crystalline AlIn2Re at its relaxed geometry, with properties calculated at the PBE level.

V: 74.1 Å³/f.u.
total DFT energy (no corrections): -4.903 eV per atom
formation enthalpy at 0 K: 0.514 eV/atom

Cell and atoms, written as CIF:
```
data_AlIn2Re
_cell_length_a 5.646
_cell_length_b 8.383
_cell_length_c 3.131
_cell_angle_alpha 90.00
_cell_angle_beta 90.00
_cell_angle_gamma 90.00
_space_group_name_H-M_alt 'C m m m'
_space_group_IT_number 65
_space_group_name_Hall '-C 2 2'
loop_
_atom_site_label
_atom_site_type_symbol
_atom_site_fract_x
_atom_site_fract_y
_atom_site_fract_z
Al1 Al 0.000 0.000 0.000
In1 In 0.250 0.250 0.500
Re1 Re 0.000 0.500 0.000
```

---

Below is crystalline AlInRe3 at its relaxed geometry, with properties calculated at the PBE level.

V: 111.4 Å³/f.u.
energy above the most stable polymorph in this dataset: 1275 meV/atom
total DFT energy (no corrections): -5.858 eV per atom
formation enthalpy at 0 K: 2.907 eV/atom

Cell and atoms, written as CIF:
```
data_AlInRe3
_cell_length_a 4.811
_cell_length_b 4.811
_cell_length_c 4.811
_cell_angle_alpha 90.00
_cell_angle_beta 90.00
_cell_angle_gamma 90.00
_space_group_name_H-M_alt 'P m -3 m'
_space_group_IT_number 221
_space_group_name_Hall '-P 4 2 3'
loop_
_atom_site_label
_atom_site_type_symbol
_atom_site_fract_x
_atom_site_fract_y
_atom_site_fract_z
Al1 Al 0.000 0.000 0.000
In1 In 0.500 0.500 0.500
Re1 Re 0.000 0.500 0.500
```

---

Below is crystalline AlIn2Re at its relaxed geometry, with properties calculated at the PBE level.

V: 75.3 Å³/f.u.
total DFT energy (no corrections): -5.145 eV per atom
formation enthalpy at 0 K: 0.272 eV/atom

Cell and atoms, written as CIF:
```
data_AlIn2Re
_cell_length_a 3.448
_cell_length_b 3.448
_cell_length_c 6.332
_cell_angle_alpha 90.00
_cell_angle_beta 90.00
_cell_angle_gamma 90.00
_space_group_name_H-M_alt 'P 4 m m'
_space_group_IT_number 99
loop_
_space_group_symop_operation_xyz
'x,y,z'
'-y,x,z'
'-x,-y,z'
'y,-x,z'
'-x,y,z'
'y,x,z'
'x,-y,z'
'-y,-x,z'
loop_
_atom_site_label
_atom_site_type_symbol
_atom_site_fract_x
_atom_site_fract_y
_atom_site_fract_z
Al1 Al 0.000 0.000 0.000
In1 In 0.000 0.000 0.569
In2 In 0.500 0.500 0.278
Re1 Re 0.500 0.500 0.837
```

---

Below is crystalline AlIn2Re at its relaxed geometry, with properties calculated at the PBE level.

V: 78.6 Å³/f.u.
total DFT energy (no corrections): -5.091 eV per atom
formation enthalpy at 0 K: 0.326 eV/atom

Cell and atoms, written as CIF:
```
data_AlIn2Re
_cell_length_a 3.579
_cell_length_b 4.212
_cell_length_c 5.499
_cell_angle_alpha 90.00
_cell_angle_beta 108.51
_cell_angle_gamma 90.00
_space_group_name_H-M_alt 'P 1 m 1'
_space_group_IT_number 6
loop_
_space_group_symop_operation_xyz
'x,y,z'
'x,-y,z'
loop_
_atom_site_label
_atom_site_type_symbol
_atom_site_fract_x
_atom_site_fract_y
_atom_site_fract_z
Al1 Al 0.000 0.000 0.000
In1 In 0.283 0.000 0.560
In2 In 0.588 0.500 0.185
Re1 Re 0.867 0.500 0.736
```

---

Below is crystalline AlIn2Re at its relaxed geometry, with properties calculated at the PBE level.

V: 77.5 Å³/f.u.
total DFT energy (no corrections): -4.926 eV per atom
formation enthalpy at 0 K: 0.491 eV/atom

Cell and atoms, written as CIF:
```
data_AlIn2Re
_cell_length_a 3.0018
_cell_length_b 3.0018
_cell_length_c 29.8082
_cell_angle_alpha 90.00
_cell_angle_beta 90.00
_cell_angle_gamma 120.00
_space_group_name_H-M_alt 'R -3 m'
_space_group_IT_number 166
_space_group_name_Hall '-R 3 2"'
loop_
_atom_site_label
_atom_site_type_symbol
_atom_site_fract_x
_atom_site_fract_y
_atom_site_fract_z
Al1 Al 0.0000 0.0000 0.0000
In1 In 0.0000 0.0000 0.2442
Re1 Re 0.0000 0.0000 0.5000
```

---

Below is crystalline AlInReTc2 at its relaxed geometry, with properties calculated at the PBE level.

V: 90.9 Å³/f.u.
total DFT energy (no corrections): -6.640 eV per atom
formation enthalpy at 0 K: 1.292 eV/atom

Cell and atoms, written as CIF:
```
data_AlInReTc2
_cell_length_a 4.483
_cell_length_b 4.483
_cell_length_c 4.524
_cell_angle_alpha 90.00
_cell_angle_beta 90.00
_cell_angle_gamma 90.00
_space_group_name_H-M_alt 'P 4/m m m'
_space_group_IT_number 123
_space_group_name_Hall '-P 4 2'
loop_
_atom_site_label
_atom_site_type_symbol
_atom_site_fract_x
_atom_site_fract_y
_atom_site_fract_z
Al1 Al 0.000 0.000 0.000
In1 In 0.500 0.500 0.500
Re1 Re 0.000 0.000 0.500
Tc1 Tc 0.000 0.500 0.000
```

---

Below is crystalline AlInReTe2 at its relaxed geometry, with properties calculated at the PBE level.

V: 177.0 Å³/f.u.
total DFT energy (no corrections): -3.546 eV per atom
formation energy (no corrections): 1.4966 eV per atom

Cell and atoms, written as CIF:
```
data_AlInReTe2
_cell_length_a 5.781
_cell_length_b 5.781
_cell_length_c 5.297
_cell_angle_alpha 90.00
_cell_angle_beta 90.00
_cell_angle_gamma 90.00
_space_group_name_H-M_alt 'P 4/m m m'
_space_group_IT_number 123
_space_group_name_Hall '-P 4 2'
loop_
_atom_site_label
_atom_site_type_symbol
_atom_site_fract_x
_atom_site_fract_y
_atom_site_fract_z
Al1 Al 0.000 0.000 0.000
In1 In 0.500 0.500 0.500
Re1 Re 0.500 0.500 0.000
Te1 Te 0.000 0.500 0.500
```

---

Below is crystalline Al2InRh at its relaxed geometry, with properties calculated at the PBE level.

V: 66.9 Å³/f.u.
total DFT energy (no corrections): -4.517 eV per atom
formation enthalpy at 0 K: -0.123 eV/atom

Cell and atoms, written as CIF:
```
data_Al2InRh
_cell_length_a 3.295
_cell_length_b 4.498
_cell_length_c 4.513
_cell_angle_alpha 90.00
_cell_angle_beta 90.00
_cell_angle_gamma 90.00
_space_group_name_H-M_alt 'P m m m'
_space_group_IT_number 47
loop_
_space_group_symop_operation_xyz
'x,y,z'
'-x,-y,-z'
'-x,-y,z'
'x,y,-z'
'x,-y,-z'
'-x,y,z'
'-x,y,-z'
'x,-y,z'
loop_
_atom_site_label
_atom_site_type_symbol
_atom_site_fract_x
_atom_site_fract_y
_atom_site_fract_z
Al1 Al 0.000 0.000 0.000
Al2 Al 0.500 0.000 0.500
In1 In 0.000 0.500 0.500
Rh1 Rh 0.500 0.500 0.000
```

---

Below is crystalline Al2InRh at its relaxed geometry, with properties calculated at the PBE level.

V: 67.4 Å³/f.u.
total DFT energy (no corrections): -4.677 eV per atom
formation enthalpy at 0 K: -0.284 eV/atom

Cell and atoms, written as CIF:
```
data_Al2InRh
_cell_length_a 8.916
_cell_length_b 3.146
_cell_length_c 4.890
_cell_angle_alpha 90.00
_cell_angle_beta 100.48
_cell_angle_gamma 90.00
_space_group_name_H-M_alt 'C 1 2/m 1'
_space_group_IT_number 12
loop_
_space_group_symop_operation_xyz
'x,y,z'
'-x,-y,-z'
'-x,y,-z'
'x,-y,z'
'x+1/2,y+1/2,z'
'-x+1/2,-y+1/2,-z'
'-x+1/2,y+1/2,-z'
'x+1/2,-y+1/2,z'
loop_
_atom_site_label
_atom_site_type_symbol
_atom_site_fract_x
_atom_site_fract_y
_atom_site_fract_z
Al1 Al 0.235 0.000 0.216
In1 In 0.000 0.000 0.500
Rh1 Rh 0.000 0.500 0.000
```

---

Below is crystalline AlIn2Rh at its relaxed geometry, with properties calculated at the PBE level.

V: 80.5 Å³/f.u.
total DFT energy (no corrections): -4.348 eV per atom
formation enthalpy at 0 K: -0.205 eV/atom

Cell and atoms, written as CIF:
```
data_AlIn2Rh
_cell_length_a 3.2231
_cell_length_b 3.2231
_cell_length_c 26.8453
_cell_angle_alpha 90.00
_cell_angle_beta 90.00
_cell_angle_gamma 120.00
_space_group_name_H-M_alt 'R 3 m'
_space_group_IT_number 160
_space_group_name_Hall 'R 3 -2"'
loop_
_atom_site_label
_atom_site_type_symbol
_atom_site_fract_x
_atom_site_fract_y
_atom_site_fract_z
Al1 Al 0.0000 0.0000 0.0000
In1 In 0.0000 0.0000 0.5290
In2 In 0.0000 0.0000 0.7598
Rh1 Rh 0.0000 0.0000 0.2723
```

---

Below is crystalline AlIn4Rh at its relaxed geometry, with properties calculated at the PBE level.

V: 140.9 Å³/f.u.
total DFT energy (no corrections): -3.182 eV per atom
formation enthalpy at 0 K: 0.493 eV/atom

Cell and atoms, written as CIF:
```
data_AlIn4Rh
_cell_length_a 8.261
_cell_length_b 8.261
_cell_length_c 8.261
_cell_angle_alpha 90.00
_cell_angle_beta 90.00
_cell_angle_gamma 90.00
_space_group_name_H-M_alt 'F -4 3 m'
_space_group_IT_number 216
_space_group_name_Hall 'F -4 2 3'
loop_
_atom_site_label
_atom_site_type_symbol
_atom_site_fract_x
_atom_site_fract_y
_atom_site_fract_z
Al1 Al 0.000 0.000 0.000
In1 In 0.125 0.125 0.625
Rh1 Rh 0.250 0.250 0.250
```

---

Below is crystalline AlInRh3 at its relaxed geometry, with properties calculated at the PBE level.

V: 89.2 Å³/f.u.
energy above the most stable polymorph in this dataset: 0 meV/atom
total DFT energy (no corrections): -5.544 eV per atom
formation enthalpy at 0 K: 0.163 eV/atom

Cell and atoms, written as CIF:
```
data_AlInRh3
_cell_length_a 4.468
_cell_length_b 4.468
_cell_length_c 4.468
_cell_angle_alpha 90.00
_cell_angle_beta 90.00
_cell_angle_gamma 90.00
_space_group_name_H-M_alt 'P m -3 m'
_space_group_IT_number 221
_space_group_name_Hall '-P 4 2 3'
loop_
_atom_site_label
_atom_site_type_symbol
_atom_site_fract_x
_atom_site_fract_y
_atom_site_fract_z
Al1 Al 0.000 0.000 0.000
In1 In 0.500 0.500 0.500
Rh1 Rh 0.000 0.000 0.500
```

---

Below is crystalline Al2InRh at its relaxed geometry, with properties calculated at the PBE level.

V: 71.1 Å³/f.u.
total DFT energy (no corrections): -4.719 eV per atom
formation enthalpy at 0 K: -0.325 eV/atom

Cell and atoms, written as CIF:
```
data_Al2InRh
_cell_length_a 3.0746
_cell_length_b 3.0746
_cell_length_c 26.0516
_cell_angle_alpha 90.00
_cell_angle_beta 90.00
_cell_angle_gamma 120.00
_space_group_name_H-M_alt 'R -3 m'
_space_group_IT_number 166
_space_group_name_Hall '-R 3 2"'
loop_
_atom_site_label
_atom_site_type_symbol
_atom_site_fract_x
_atom_site_fract_y
_atom_site_fract_z
Al1 Al 0.0000 0.0000 0.2359
In1 In 0.0000 0.0000 0.0000
Rh1 Rh 0.0000 0.0000 0.5000
```

---

Below is crystalline AlIn2Rh at its relaxed geometry, with properties calculated at the PBE level.

V: 120.9 Å³/f.u.
total DFT energy (no corrections): -4.310 eV per atom
formation enthalpy at 0 K: -0.168 eV/atom

Cell and atoms, written as CIF:
```
data_AlIn2Rh
_cell_length_a 10.070
_cell_length_b 10.070
_cell_length_c 4.769
_cell_angle_alpha 90.00
_cell_angle_beta 90.00
_cell_angle_gamma 90.00
_space_group_name_H-M_alt 'I 41/a m d'
_space_group_IT_number 141
loop_
_space_group_symop_operation_xyz
'x,y,z'
'-x,-y,-z'
'-y+1/4,x+3/4,z+1/4'
'y+1/4,-x+3/4,-z+1/4'
'-x+1/2,-y,z+1/2'
'x+1/2,y,-z+1/2'
'y+1/4,-x+1/4,z+3/4'
'-y+1/4,x+1/4,-z+3/4'
'x,-y,-z'
'-x,y,z'
'-y+1/4,-x+1/4,-z+3/4'
'y+1/4,x+1/4,z+3/4'
'-x+1/2,y,-z+1/2'
'x+1/2,-y,z+1/2'
'y+1/4,x+3/4,-z+1/4'
'-y+1/4,-x+3/4,z+1/4'
'x+1/2,y+1/2,z+1/2'
'-x+1/2,-y+1/2,-z+1/2'
'-y+3/4,x+1/4,z+3/4'
'y+3/4,-x+1/4,-z+3/4'
'-x,-y+1/2,z'
'x,y+1/2,-z'
'y+3/4,-x+3/4,z+1/4'
'-y+3/4,x+3/4,-z+1/4'
'x+1/2,-y+1/2,-z+1/2'
'-x+1/2,y+1/2,z+1/2'
'-y+3/4,-x+3/4,-z+1/4'
'y+3/4,x+3/4,z+1/4'
'-x,y+1/2,-z'
'x,-y+1/2,z'
'y+3/4,x+1/4,-z+3/4'
'-y+3/4,-x+1/4,z+3/4'
loop_
_atom_site_label
_atom_site_type_symbol
_atom_site_fract_x
_atom_site_fract_y
_atom_site_fract_z
Al1 Al 0.000 0.250 0.375
In1 In 0.000 0.000 0.000
Rh1 Rh 0.000 0.250 0.875
```

---

Below is crystalline AlIn2Rh at its relaxed geometry, with properties calculated at the PBE level.

V: 73.6 Å³/f.u.
total DFT energy (no corrections): -4.207 eV per atom
formation enthalpy at 0 K: -0.064 eV/atom

Cell and atoms, written as CIF:
```
data_AlIn2Rh
_cell_length_a 4.167
_cell_length_b 4.167
_cell_length_c 8.480
_cell_angle_alpha 90.00
_cell_angle_beta 90.00
_cell_angle_gamma 90.00
_space_group_name_H-M_alt 'I -4 m 2'
_space_group_IT_number 119
_space_group_name_Hall 'I -4 -2'
loop_
_atom_site_label
_atom_site_type_symbol
_atom_site_fract_x
_atom_site_fract_y
_atom_site_fract_z
Al1 Al 0.000 0.000 0.000
In1 In 0.000 0.000 0.500
In2 In 0.000 0.500 0.750
Rh1 Rh 0.000 0.500 0.250
```

---

Below is crystalline AlIn2Rh at its relaxed geometry, with properties calculated at the PBE level.

V: 79.4 Å³/f.u.
total DFT energy (no corrections): -4.166 eV per atom
formation enthalpy at 0 K: -0.024 eV/atom

Cell and atoms, written as CIF:
```
data_AlIn2Rh
_cell_length_a 3.2232
_cell_length_b 3.2232
_cell_length_c 26.4840
_cell_angle_alpha 90.00
_cell_angle_beta 90.00
_cell_angle_gamma 120.00
_space_group_name_H-M_alt 'R -3 m'
_space_group_IT_number 166
_space_group_name_Hall '-R 3 2"'
loop_
_atom_site_label
_atom_site_type_symbol
_atom_site_fract_x
_atom_site_fract_y
_atom_site_fract_z
Al1 Al 0.0000 0.0000 0.0000
In1 In 0.0000 0.0000 0.2425
Rh1 Rh 0.0000 0.0000 0.5000
```

---

Below is crystalline Al2InRh at its relaxed geometry, with properties calculated at the PBE level.

V: 69.1 Å³/f.u.
total DFT energy (no corrections): -4.529 eV per atom
formation enthalpy at 0 K: -0.136 eV/atom

Cell and atoms, written as CIF:
```
data_Al2InRh
_cell_length_a 5.614
_cell_length_b 9.253
_cell_length_c 3.092
_cell_angle_alpha 90.00
_cell_angle_beta 120.71
_cell_angle_gamma 90.00
_space_group_name_H-M_alt 'C 1 2/m 1'
_space_group_IT_number 12
loop_
_space_group_symop_operation_xyz
'x,y,z'
'-x,-y,-z'
'-x,y,-z'
'x,-y,z'
'x+1/2,y+1/2,z'
'-x+1/2,-y+1/2,-z'
'-x+1/2,y+1/2,-z'
'x+1/2,-y+1/2,z'
loop_
_atom_site_label
_atom_site_type_symbol
_atom_site_fract_x
_atom_site_fract_y
_atom_site_fract_z
Al1 Al 0.250 0.250 0.000
In1 In 0.000 0.000 0.000
Rh1 Rh 0.000 0.500 0.000
```

---

Below is crystalline Al3InRh at its relaxed geometry, with properties calculated at the PBE level.

V: 108.4 Å³/f.u.
energy above the most stable polymorph in this dataset: 0 meV/atom
total DFT energy (no corrections): -4.434 eV per atom
formation enthalpy at 0 K: -0.171 eV/atom

Cell and atoms, written as CIF:
```
data_Al3InRh
_cell_length_a 4.768
_cell_length_b 4.768
_cell_length_c 4.768
_cell_angle_alpha 90.00
_cell_angle_beta 90.00
_cell_angle_gamma 90.00
_space_group_name_H-M_alt 'P m -3 m'
_space_group_IT_number 221
_space_group_name_Hall '-P 4 2 3'
loop_
_atom_site_label
_atom_site_type_symbol
_atom_site_fract_x
_atom_site_fract_y
_atom_site_fract_z
Al1 Al 0.000 0.000 0.500
In1 In 0.500 0.500 0.500
Rh1 Rh 0.000 0.000 0.000
```

---

Below is crystalline Al2InRh at its relaxed geometry, with properties calculated at the PBE level.

V: 67.6 Å³/f.u.
total DFT energy (no corrections): -4.474 eV per atom
formation enthalpy at 0 K: -0.080 eV/atom

Cell and atoms, written as CIF:
```
data_Al2InRh
_cell_length_a 6.468
_cell_length_b 6.468
_cell_length_c 6.468
_cell_angle_alpha 90.00
_cell_angle_beta 90.00
_cell_angle_gamma 90.00
_space_group_name_H-M_alt 'F -4 3 m'
_space_group_IT_number 216
_space_group_name_Hall 'F -4 2 3'
loop_
_atom_site_label
_atom_site_type_symbol
_atom_site_fract_x
_atom_site_fract_y
_atom_site_fract_z
Al1 Al 0.000 0.000 0.000
Al2 Al 0.250 0.250 0.250
In1 In 0.000 0.000 0.500
Rh1 Rh 0.250 0.250 0.750
```